Entry 1:
# Ta2Mo2Cl7, relaxed, DFT PBE
data_Ta2Mo2Cl7
_space_group_name_H-M_alt 'C 1 2/c 1'
_space_group_IT_number 15
_cell_length_a 4.996
_cell_length_b 10.892
_cell_length_c 18.408
_cell_angle_alpha 90.00
_cell_angle_beta 93.02
_cell_angle_gamma 90.00
loop_
_space_group_symop_operation_xyz
'x,y,z'
'-x,-y,-z'
'-x,y,-z+1/2'
'x,-y,z+1/2'
'x+1/2,y+1/2,z'
'-x+1/2,-y+1/2,-z'
'-x+1/2,y+1/2,-z+1/2'
'x+1/2,-y+1/2,z+1/2'
loop_
_atom_site_label
_atom_site_type_symbol
_atom_site_fract_x
_atom_site_fract_y
_atom_site_fract_z
Ta1 Ta 0.005 0.116 0.026
Mo1 Mo 0.186 0.161 0.732
Cl1 Cl 0.000 0.480 0.750
Cl2 Cl 0.004 0.344 0.530
Cl3 Cl 0.008 0.066 0.602
Cl4 Cl 0.017 0.217 0.152
# Final energy: -5.637 eV per atom
# Spin magnetization: 0.00 μB per formula unit
# Raw formation energy: -3.72 eV/f.u.

***

Entry 2:
# Li4SnAu3, relaxed, DFT PBE
data_Li4SnAu3
_space_group_name_H-M_alt 'P 4/m m m'
_space_group_IT_number 123
_space_group_name_Hall '-P 4 2'
_cell_length_a 3.323
_cell_length_b 3.323
_cell_length_c 11.816
_cell_angle_alpha 90.00
_cell_angle_beta 90.00
_cell_angle_gamma 90.00
loop_
_atom_site_label
_atom_site_type_symbol
_atom_site_fract_x
_atom_site_fract_y
_atom_site_fract_z
Li1 Li 0.000 0.000 0.121
Li2 Li 0.000 0.000 0.360
Sn1 Sn 0.500 0.500 0.500
Au1 Au 0.500 0.500 0.000
Au2 Au 0.500 0.500 0.244
# Final energy: -3.184 eV per atom
# Distance to the lowest polymorph of the same formula: 0 meV/atom
# Energy of formation: -0.497 eV/atom
# Spin magnetization: 0.00 μB per formula unit

***

Entry 3:
# PrY7Ho2, relaxed, DFT PBE
data_PrY7Ho2
_space_group_name_H-M_alt 'C m m m'
_space_group_IT_number 65
_space_group_name_Hall '-C 2 2'
_cell_length_a 8.849
_cell_length_b 15.871
_cell_length_c 5.692
_cell_angle_alpha 90.00
_cell_angle_beta 90.00
_cell_angle_gamma 90.00
loop_
_atom_site_label
_atom_site_type_symbol
_atom_site_fract_x
_atom_site_fract_y
_atom_site_fract_z
Pr1 Pr 0.000 0.000 0.000
Y1 Y 0.000 0.226 0.000
Y2 Y 0.000 0.500 0.500
Y3 Y 0.178 0.118 0.500
Ho1 Ho 0.000 0.297 0.500
# Final energy: -5.227 eV per atom
# Distance to the lowest polymorph of the same formula: 669 meV/atom
# Energy of formation: 0.692 eV/atom
# Spin magnetization: 0.00 μB per formula unit

***

Entry 4:
# CaPrAl2Ge2, relaxed, DFT PBE
data_CaPrAl2Ge2
_space_group_name_H-M_alt 'P -3 m 1'
_space_group_IT_number 164
_space_group_name_Hall '-P 3 2"'
_cell_length_a 4.2447
_cell_length_b 4.2447
_cell_length_c 8.8987
_cell_angle_alpha 90.00
_cell_angle_beta 90.00
_cell_angle_gamma 120.00
loop_
_atom_site_label
_atom_site_type_symbol
_atom_site_fract_x
_atom_site_fract_y
_atom_site_fract_z
Ca1 Ca 0.0000 0.0000 0.0000
Pr1 Pr 0.0000 0.0000 0.5000
Al1 Al 0.3333 0.6667 0.2710
Ge1 Ge 0.3333 0.6667 0.7782
# Final energy: -4.451 eV per atom
# Energy of formation: -0.534 eV/atom
# Spin magnetization: 0.00 μB per formula unit

***

Entry 5:
# Re2SbAu, relaxed, DFT PBE
data_Re2SbAu
_space_group_name_H-M_alt 'I -4 m 2'
_space_group_IT_number 119
_space_group_name_Hall 'I -4 -2'
_cell_length_a 4.087
_cell_length_b 4.087
_cell_length_c 8.131
_cell_angle_alpha 90.00
_cell_angle_beta 90.00
_cell_angle_gamma 90.00
loop_
_atom_site_label
_atom_site_type_symbol
_atom_site_fract_x
_atom_site_fract_y
_atom_site_fract_z
Re1 Re 0.000 0.000 0.000
Re2 Re 0.000 0.500 0.250
Sb1 Sb 0.000 0.500 0.750
Au1 Au 0.000 0.000 0.500
# Final energy: -7.361 eV per atom
# Spin magnetization: 0.00 μB per formula unit
# Raw formation energy: 2.85 eV/f.u.

***

Entry 6:
# Cr2WSe, relaxed, DFT PBE
data_Cr2WSe
_space_group_name_H-M_alt 'F -4 3 m'
_space_group_IT_number 216
_space_group_name_Hall 'F -4 2 3'
_cell_length_a 6.068
_cell_length_b 6.068
_cell_length_c 6.068
_cell_angle_alpha 90.00
_cell_angle_beta 90.00
_cell_angle_gamma 90.00
loop_
_atom_site_label
_atom_site_type_symbol
_atom_site_fract_x
_atom_site_fract_y
_atom_site_fract_z
Cr1 Cr 0.000 0.000 0.000
Cr2 Cr 0.250 0.250 0.250
W1 W 0.000 0.000 0.500
Se1 Se 0.250 0.250 0.750
# Final energy: -8.377 eV per atom
# Spin magnetization: 0.99 μB per formula unit
# Raw formation energy: 2.18 eV/f.u.

***

Entry 7:
# Zr4TcIr3, relaxed, DFT PBE
data_Zr4TcIr3
_space_group_name_H-M_alt 'I 4/m m m'
_space_group_IT_number 139
_space_group_name_Hall '-I 4 2'
_cell_length_a 4.620
_cell_length_b 4.620
_cell_length_c 13.530
_cell_angle_alpha 90.00
_cell_angle_beta 90.00
_cell_angle_gamma 90.00
loop_
_atom_site_label
_atom_site_type_symbol
_atom_site_fract_x
_atom_site_fract_y
_atom_site_fract_z
Zr1 Zr 0.000 0.500 0.124
Tc1 Tc 0.000 0.000 0.000
Ir1 Ir 0.000 0.000 0.243
Ir2 Ir 0.000 0.000 0.500
# Final energy: -9.625 eV per atom
# Energy of formation: -0.733 eV/atom
# Spin magnetization: 0.00 μB per formula unit

***

Entry 8:
# YP2SF, relaxed, DFT PBE
data_YP2SF
_space_group_name_H-M_alt 'P 4/m m m'
_space_group_IT_number 123
_space_group_name_Hall '-P 4 2'
_cell_length_a 4.064
_cell_length_b 4.064
_cell_length_c 5.458
_cell_angle_alpha 90.00
_cell_angle_beta 90.00
_cell_angle_gamma 90.00
loop_
_atom_site_label
_atom_site_type_symbol
_atom_site_fract_x
_atom_site_fract_y
_atom_site_fract_z
Y1 Y 0.000 0.000 0.000
P1 P 0.000 0.500 0.500
S1 S 0.500 0.500 0.000
F1 F 0.500 0.500 0.500
# Final energy: -5.095 eV per atom
# Distance to the lowest polymorph of the same formula: 0 meV/atom
# Spin magnetization: 0.00 μB per formula unit
# Raw formation energy: -2.19 eV/f.u.

***

Entry 9:
# RhCl3, relaxed, DFT PBE
data_RhCl3
_space_group_name_H-M_alt 'P 4/m m m'
_space_group_IT_number 123
_space_group_name_Hall '-P 4 2'
_cell_length_a 3.099
_cell_length_b 3.099
_cell_length_c 9.527
_cell_angle_alpha 90.00
_cell_angle_beta 90.00
_cell_angle_gamma 90.00
loop_
_atom_site_label
_atom_site_type_symbol
_atom_site_fract_x
_atom_site_fract_y
_atom_site_fract_z
Rh1 Rh 0.000 0.000 0.000
Cl1 Cl 0.000 0.000 0.500
Cl2 Cl 0.500 0.500 0.165
# Final energy: -2.906 eV per atom
# Spin magnetization: 3.55 μB per formula unit
# Raw formation energy: 1.27 eV/f.u.

***

Entry 10:
# IrSN, relaxed, DFT PBE
data_IrSN
_space_group_name_H-M_alt 'P m m 2'
_space_group_IT_number 25
_cell_length_a 2.985
_cell_length_b 3.465
_cell_length_c 4.151
_cell_angle_alpha 90.00
_cell_angle_beta 90.00
_cell_angle_gamma 90.00
loop_
_space_group_symop_operation_xyz
'x,y,z'
'-x,-y,z'
'-x,y,z'
'x,-y,z'
loop_
_atom_site_label
_atom_site_type_symbol
_atom_site_fract_x
_atom_site_fract_y
_atom_site_fract_z
Ir1 Ir 0.000 0.000 0.000
S1 S 0.000 0.500 0.325
N1 N 0.000 0.500 0.701
# Final energy: -6.736 eV per atom
# Distance to the lowest polymorph of the same formula: 191 meV/atom
# Spin magnetization: 0.00 μB per formula unit
# Raw formation energy: 1.11 eV/f.u.

***

Entry 11:
# ReAsW2, relaxed, DFT PBE
data_ReAsW2
_space_group_name_H-M_alt 'I m m 2'
_space_group_IT_number 44
_cell_length_a 3.088
_cell_length_b 4.401
_cell_length_c 9.065
_cell_angle_alpha 90.00
_cell_angle_beta 90.00
_cell_angle_gamma 90.00
loop_
_space_group_symop_operation_xyz
'x,y,z'
'-x,-y,z'
'-x,y,z'
'x,-y,z'
'x+1/2,y+1/2,z+1/2'
'-x+1/2,-y+1/2,z+1/2'
'-x+1/2,y+1/2,z+1/2'
'x+1/2,-y+1/2,z+1/2'
loop_
_atom_site_label
_atom_site_type_symbol
_atom_site_fract_x
_atom_site_fract_y
_atom_site_fract_z
Re1 Re 0.000 0.000 0.000
As1 As 0.000 0.500 0.272
W1 W 0.000 0.000 0.536
W2 W 0.000 0.500 0.762
# Final energy: -10.468 eV per atom
# Energy of formation: 0.283 eV/atom
# Spin magnetization: 0.00 μB per formula unit

***

Entry 12:
# ThZrNb2, relaxed, DFT PBE
data_ThZrNb2
_space_group_name_H-M_alt 'P 4/m m m'
_space_group_IT_number 123
_space_group_name_Hall '-P 4 2'
_cell_length_a 3.555
_cell_length_b 3.555
_cell_length_c 7.048
_cell_angle_alpha 90.00
_cell_angle_beta 90.00
_cell_angle_gamma 90.00
loop_
_atom_site_label
_atom_site_type_symbol
_atom_site_fract_x
_atom_site_fract_y
_atom_site_fract_z
Th1 Th 0.000 0.000 0.000
Zr1 Zr 0.000 0.000 0.500
Nb1 Nb 0.500 0.500 0.261
# Final energy: -8.816 eV per atom
# Distance to the lowest polymorph of the same formula: 47 meV/atom
# Energy of formation: 0.211 eV/atom
# Spin magnetization: 0.00 μB per formula unit

***

Number 1: density of states at the Fermi level 22.6 states/eV/cell. Number 2: density of states at the Fermi level 1.2 states/eV/cell. Number 3: density of states at the Fermi level 27.3 states/eV/cell. Number 4: density of states at the Fermi level 2.3 states/eV/cell. Number 5: density of states at the Fermi level 8.7 states/eV/cell. Number 6: density of states at the Fermi level 19.7 states/eV/cell. Number 7: density of states at the Fermi level 9.3 states/eV/cell. Number 8: density of states at the Fermi level 2.5 states/eV/cell. Number 9: density of states at the Fermi level 3.7 states/eV/cell. Number 10: density of states at the Fermi level 0.4 states/eV/cell. Number 11: density of states at the Fermi level 5.3 states/eV/cell. Number 12: density of states at the Fermi level 7.4 states/eV/cell.